The following is a DFT calculation (PBE) of a relaxed structure of ZnTcBr2.

POSCAR file:
```
ZnTcBr2
1.0
3.414 0.000 0.000
0.000 3.414 0.000
0.000 0.000 7.909
Zn Tc Br
1 1 2
Direct
0.000 0.000 0.000 Zn
0.500 0.500 0.851 Tc
0.000 0.000 0.629 Br
0.500 0.500 0.189 Br
```

Computed properties:
The space-group type is P4mm (99). The calculation puts the uncorrected formation energy at 1.014 eV per formula unit. The density of states at the Fermi level is 3.13 states/eV/cell. Its total moment is 2.5 μB per formula unit. Its calculated total energy is -3.493 eV per atom. For the energy above the most stable polymorph in this dataset, the calculation gives 0.467 eV/atom.

=====

The following is a DFT calculation (PBE) of a relaxed structure of ZnTcBr2.

POSCAR file:
```
ZnTcBr2
1.0
19.058 0.000 0.000
0.000 3.779 0.000
-0.909 0.000 6.824
Zn Tc Br
4 4 8
Direct
0.000 0.000 0.000 Zn
0.092 0.500 0.090 Zn
0.500 0.500 0.000 Zn
0.592 0.000 0.090 Zn
0.386 0.000 0.798 Tc
0.495 0.000 0.756 Tc
0.886 0.500 0.798 Tc
0.995 0.500 0.756 Tc
0.016 0.500 0.404 Br
0.178 0.000 0.162 Br
0.336 0.500 0.568 Br
0.362 0.500 0.049 Br
0.516 0.000 0.404 Br
0.678 0.500 0.162 Br
0.836 0.000 0.568 Br
0.862 0.000 0.049 Br
```

Computed properties:
The space-group type is Cm (8). The calculation puts the uncorrected formation energy at -0.505 eV per formula unit. The density of states at the Fermi level is 4.41 states/eV/cell. Its total moment is 0.0 μB per formula unit. Its calculated total energy is -3.873 eV per atom. For the energy above the most stable polymorph in this dataset, the calculation gives 0.087 eV/atom.